Here is Ce6ScPa2 after structural relaxation from Alexandria. Energies are from PBE-GGA.

abc: 5.671 5.671 9.130
angles: 90.00 90.00 120.00
Atoms (fractional coordinates):
Ce 0.000 0.377 0.216
Ce 0.000 0.623 0.784
Ce 0.377 0.000 0.216
Ce 0.377 0.377 0.784
Ce 0.623 0.000 0.784
Ce 0.623 0.623 0.216
Sc 0.000 0.000 0.000
Pa 0.333 0.667 0.500
Pa 0.667 0.333 0.500

Properties
formation energy from the elements	0.5237	eV/atom
total energy	-6.2459	eV per atom
theoretical density	8.801	g cm⁻³
symmetry	No. 162